A) # YIrAu2 (PBE, relaxed)
data_YIrAu2
_chemical_formula_sum 'Y4 Ir4 Au8'
_space_group_name_H-M_alt 'F m -3 m'
_space_group_IT_number 225
_space_group_name_Hall '-F 4 2 3'
_cell_length_a 6.7627
_cell_length_b 6.7627
_cell_length_c 6.7627
_cell_angle_alpha 90.00
_cell_angle_beta 90.00
_cell_angle_gamma 90.00
loop_
_atom_site_label
_atom_site_fract_x
_atom_site_fract_y
_atom_site_fract_z
Y1 0.0000 0.0000 0.0000
Ir1 0.0000 0.0000 0.5000
Au1 0.2500 0.2500 0.2500
# Crystal system: cubic
# Calculated density: 14497 kg/m³

B) # YIrAu2 (PBE, relaxed)
data_YIrAu2
_chemical_formula_sum 'Y4 Ir4 Au8'
_space_group_name_H-M_alt 'F -4 3 m'
_space_group_IT_number 216
_space_group_name_Hall 'F -4 2 3'
_cell_length_a 6.7597
_cell_length_b 6.7597
_cell_length_c 6.7597
_cell_angle_alpha 90.00
_cell_angle_beta 90.00
_cell_angle_gamma 90.00
loop_
_atom_site_label
_atom_site_fract_x
_atom_site_fract_y
_atom_site_fract_z
Y1 0.0000 0.0000 0.0000
Ir1 0.2500 0.2500 0.7500
Au1 0.0000 0.0000 0.5000
Au2 0.2500 0.2500 0.2500
# Crystal system: cubic
# Calculated density: 14517 kg/m³

C) # YIrAu2 (PBE, relaxed)
data_YIrAu2
_chemical_formula_sum 'Y3 Ir3 Au6'
_space_group_name_H-M_alt 'R -3 m'
_space_group_IT_number 166
_space_group_name_Hall '-R 3 2"'
_cell_length_a 3.0318
_cell_length_b 3.0318
_cell_length_c 28.7947
_cell_angle_alpha 90.00
_cell_angle_beta 90.00
_cell_angle_gamma 120.00
loop_
_atom_site_label
_atom_site_fract_x
_atom_site_fract_y
_atom_site_fract_z
Y1 0.0000 0.0000 0.0000
Ir1 0.0000 0.0000 0.5000
Au1 0.0000 0.0000 0.2454
# Crystal system: trigonal
# Calculated density: 14671 kg/m³

What should be chosen as the most stable of them? Choose A).

A) # YIrAu2 (PBE, relaxed)
data_YIrAu2
_chemical_formula_sum 'Y1 Ir1 Au2'
_space_group_name_H-M_alt 'P 1 m 1'
_space_group_IT_number 6
_cell_length_a 3.4143
_cell_length_b 3.8298
_cell_length_c 5.9135
_cell_angle_alpha 90.00
_cell_angle_beta 90.18
_cell_angle_gamma 90.00
loop_
_space_group_symop_operation_xyz
'x,y,z'
'x,-y,z'
loop_
_atom_site_label
_atom_site_fract_x
_atom_site_fract_y
_atom_site_fract_z
Y1 0.0000 0.0000 0.0000
Ir1 0.4990 0.5000 0.7619
Au1 0.0015 0.0000 0.5134
Au2 0.5010 0.5000 0.2792
# Crystal system: monoclinic
# Calculated density: 14497 kg/m³

B) # YIrAu2 (PBE, relaxed)
data_YIrAu2
_chemical_formula_sum 'Y1 Ir1 Au2'
_space_group_name_H-M_alt 'P 1 2/m 1'
_space_group_IT_number 10
_cell_length_a 3.2613
_cell_length_b 4.7244
_cell_length_c 5.3183
_cell_angle_alpha 90.00
_cell_angle_beta 103.38
_cell_angle_gamma 90.00
loop_
_space_group_symop_operation_xyz
'x,y,z'
'-x,-y,-z'
'-x,y,-z'
'x,-y,z'
loop_
_atom_site_label
_atom_site_fract_x
_atom_site_fract_y
_atom_site_fract_z
Y1 0.0000 0.0000 0.0000
Ir1 0.5000 0.0000 0.5000
Au1 0.3738 0.5000 0.7345
# Crystal system: monoclinic
# Calculated density: 14061 kg/m³

What should be chosen as the most stable of them? Choose A).

A) # YIrAu2 (PBE, relaxed)
data_YIrAu2
_chemical_formula_sum 'Y2 Ir2 Au4'
_space_group_name_H-M_alt 'I 4/m m m'
_space_group_IT_number 139
_space_group_name_Hall '-I 4 2'
_cell_length_a 4.0899
_cell_length_b 4.0899
_cell_length_c 8.9749
_cell_angle_alpha 90.00
_cell_angle_beta 90.00
_cell_angle_gamma 90.00
loop_
_atom_site_label
_atom_site_fract_x
_atom_site_fract_y
_atom_site_fract_z
Y1 0.0000 0.0000 0.0000
Ir1 0.0000 0.0000 0.5000
Au1 0.0000 0.5000 0.2500
# Crystal system: tetragonal
# Calculated density: 14934 kg/m³

B) # YIrAu2 (PBE, relaxed)
data_YIrAu2
_chemical_formula_sum 'Y4 Ir4 Au8'
_space_group_name_H-M_alt 'I -4 2 d'
_space_group_IT_number 122
_space_group_name_Hall 'I -4 2bw'
_cell_length_a 4.0177
_cell_length_b 4.0177
_cell_length_c 20.3357
_cell_angle_alpha 90.00
_cell_angle_beta 90.00
_cell_angle_gamma 90.00
loop_
_atom_site_label
_atom_site_fract_x
_atom_site_fract_y
_atom_site_fract_z
Y1 0.0000 0.0000 0.0000
Ir1 0.0000 0.0000 0.5000
Au1 0.2309 0.2500 0.6250
# Crystal system: tetragonal
# Calculated density: 13660 kg/m³

What should be chosen as the most stable of them? Choose A).

A) # YIrAu2 (PBE, relaxed)
data_YIrAu2
_chemical_formula_sum 'Y2 Ir2 Au4'
_space_group_name_H-M_alt 'I -4 m 2'
_space_group_IT_number 119
_space_group_name_Hall 'I -4 -2'
_cell_length_a 4.2234
_cell_length_b 4.2234
_cell_length_c 8.4590
_cell_angle_alpha 90.00
_cell_angle_beta 90.00
_cell_angle_gamma 90.00
loop_
_atom_site_label
_atom_site_fract_x
_atom_site_fract_y
_atom_site_fract_z
Y1 0.0000 0.0000 0.0000
Ir1 0.0000 0.5000 0.7500
Au1 0.0000 0.0000 0.5000
Au2 0.0000 0.5000 0.2500
# Crystal system: tetragonal
# Calculated density: 14859 kg/m³

B) # YIrAu2 (PBE, relaxed)
data_YIrAu2
_chemical_formula_sum 'Y1 Ir1 Au2'
_space_group_name_H-M_alt 'P 4/m m m'
_space_group_IT_number 123
_space_group_name_Hall '-P 4 2'
_cell_length_a 3.7040
_cell_length_b 3.7040
_cell_length_c 5.6805
_cell_angle_alpha 90.00
_cell_angle_beta 90.00
_cell_angle_gamma 90.00
loop_
_atom_site_label
_atom_site_fract_x
_atom_site_fract_y
_atom_site_fract_z
Y1 0.0000 0.0000 0.0000
Ir1 0.0000 0.0000 0.5000
Au1 0.5000 0.5000 0.2591
# Crystal system: tetragonal
# Calculated density: 14384 kg/m³

What should be chosen as the most stable of them? Choose A).

A) # YIrAu (PBE, relaxed)
data_YIrAu
_chemical_formula_sum 'Y4 Ir4 Au4'
_space_group_name_H-M_alt 'C 1 2/m 1'
_space_group_IT_number 12
_cell_length_a 10.1299
_cell_length_b 5.5521
_cell_length_c 4.8990
_cell_angle_alpha 90.00
_cell_angle_beta 118.80
_cell_angle_gamma 90.00
loop_
_space_group_symop_operation_xyz
'x,y,z'
'-x,-y,-z'
'-x,y,-z'
'x,-y,z'
'x+1/2,y+1/2,z'
'-x+1/2,-y+1/2,-z'
'-x+1/2,y+1/2,-z'
'x+1/2,-y+1/2,z'
loop_
_atom_site_label
_atom_site_fract_x
_atom_site_fract_y
_atom_site_fract_z
Y1 0.1292 0.0000 0.3793
Ir1 0.0558 0.5000 0.3055
Au1 0.2500 0.2500 0.0000
# Crystal system: monoclinic
# Calculated density: 13151 kg/m³

B) # YIrAu (PBE, relaxed)
data_YIrAu
_chemical_formula_sum 'Y4 Ir4 Au4'
_space_group_name_H-M_alt 'F -4 3 m'
_space_group_IT_number 216
_space_group_name_Hall 'F -4 2 3'
_cell_length_a 6.5181
_cell_length_b 6.5181
_cell_length_c 6.5181
_cell_angle_alpha 90.00
_cell_angle_beta 90.00
_cell_angle_gamma 90.00
loop_
_atom_site_label
_atom_site_fract_x
_atom_site_fract_y
_atom_site_fract_z
Y1 0.0000 0.0000 0.0000
Ir1 0.2500 0.2500 0.7500
Au1 0.0000 0.0000 0.5000
# Crystal system: cubic
# Calculated density: 11467 kg/m³

What should be chosen as the most stable of them? Choose A).

A) # YIrAu (PBE, relaxed)
data_YIrAu
_chemical_formula_sum 'Y1 Ir1 Au1'
_space_group_name_H-M_alt 'P -6 m 2'
_space_group_IT_number 187
_space_group_name_Hall 'P -6 2'
_cell_length_a 4.5960
_cell_length_b 4.5960
_cell_length_c 3.4013
_cell_angle_alpha 90.00
_cell_angle_beta 90.00
_cell_angle_gamma 120.00
loop_
_atom_site_label
_atom_site_fract_x
_atom_site_fract_y
_atom_site_fract_z
Y1 0.0000 0.0000 0.0000
Ir1 0.3333 0.6667 0.5000
Au1 0.6667 0.3333 0.5000
# Crystal system: hexagonal
# Calculated density: 12759 kg/m³

B) # YIrAu (PBE, relaxed)
data_YIrAu
_chemical_formula_sum 'Y4 Ir4 Au4'
_space_group_name_H-M_alt 'F -4 3 m'
_space_group_IT_number 216
_space_group_name_Hall 'F -4 2 3'
_cell_length_a 6.5639
_cell_length_b 6.5639
_cell_length_c 6.5639
_cell_angle_alpha 90.00
_cell_angle_beta 90.00
_cell_angle_gamma 90.00
loop_
_atom_site_label
_atom_site_fract_x
_atom_site_fract_y
_atom_site_fract_z
Y1 0.0000 0.0000 0.0000
Ir1 0.2500 0.2500 0.7500
Au1 0.2500 0.2500 0.2500
# Crystal system: cubic
# Calculated density: 11229 kg/m³

C) # YIrAu (PBE, relaxed)
data_YIrAu
_chemical_formula_sum 'Y2 Ir2 Au2'
_space_group_name_H-M_alt 'I m m 2'
_space_group_IT_number 44
_cell_length_a 3.2971
_cell_length_b 3.8816
_cell_length_c 9.2578
_cell_angle_alpha 90.00
_cell_angle_beta 90.00
_cell_angle_gamma 90.00
loop_
_space_group_symop_operation_xyz
'x,y,z'
'-x,-y,z'
'-x,y,z'
'x,-y,z'
'x+1/2,y+1/2,z+1/2'
'-x+1/2,-y+1/2,z+1/2'
'-x+1/2,y+1/2,z+1/2'
'x+1/2,-y+1/2,z+1/2'
loop_
_atom_site_label
_atom_site_fract_x
_atom_site_fract_y
_atom_site_fract_z
Y1 0.0000 0.0000 0.0000
Ir1 0.0000 0.0000 0.3412
Au1 0.0000 0.0000 0.6801
# Crystal system: orthorhombic
# Calculated density: 13401 kg/m³

What should be chosen as the most stable of them? Choose A).

A) # Y4IrAu (PBE, relaxed)
data_Y4IrAu
_chemical_formula_sum 'Y16 Ir4 Au4'
_space_group_name_H-M_alt 'P n m a'
_space_group_IT_number 62
_cell_length_a 8.4043
_cell_length_b 4.7663
_cell_length_c 15.7558
_cell_angle_alpha 90.00
_cell_angle_beta 90.00
_cell_angle_gamma 90.00
loop_
_space_group_symop_operation_xyz
'x,y,z'
'-x,-y,-z'
'-x+1/2,-y,z+1/2'
'x+1/2,y,-z+1/2'
'x+1/2,-y+1/2,-z+1/2'
'-x+1/2,y+1/2,z+1/2'
'-x,y+1/2,-z'
'x,-y+1/2,z'
loop_
_atom_site_label
_atom_site_fract_x
_atom_site_fract_y
_atom_site_fract_z
Y1 0.0348 0.2500 0.0799
Y2 0.0871 0.2500 0.7746
Y3 0.1342 0.2500 0.3355
Y4 0.1477 0.2500 0.5655
Ir1 0.1886 0.7500 0.6823
Au1 0.2372 0.7500 0.4393
# Crystal system: orthorhombic
# Calculated density: 7838 kg/m³

B) # Y4IrAu (PBE, relaxed)
data_Y4IrAu
_chemical_formula_sum 'Y16 Ir4 Au4'
_space_group_name_H-M_alt 'F -4 3 m'
_space_group_IT_number 216
_space_group_name_Hall 'F -4 2 3'
_cell_length_a 8.3861
_cell_length_b 8.3861
_cell_length_c 8.3861
_cell_angle_alpha 90.00
_cell_angle_beta 90.00
_cell_angle_gamma 90.00
loop_
_atom_site_label
_atom_site_fract_x
_atom_site_fract_y
_atom_site_fract_z
Y1 0.1240 0.1240 0.3760
Ir1 0.2500 0.2500 0.7500
Au1 0.0000 0.0000 0.0000
# Crystal system: cubic
# Calculated density: 8388 kg/m³

C) # Y4IrAu (PBE, relaxed)
data_Y4IrAu
_chemical_formula_sum 'Y16 Ir4 Au4'
_space_group_name_H-M_alt 'C 1 2/c 1'
_space_group_IT_number 15
_cell_length_a 9.8561
_cell_length_b 9.7701
_cell_length_c 8.4835
_cell_angle_alpha 90.00
_cell_angle_beta 125.37
_cell_angle_gamma 90.00
loop_
_space_group_symop_operation_xyz
'x,y,z'
'-x,-y,-z'
'-x,y,-z+1/2'
'x,-y,z+1/2'
'x+1/2,y+1/2,z'
'-x+1/2,-y+1/2,-z'
'-x+1/2,y+1/2,-z+1/2'
'x+1/2,-y+1/2,z+1/2'
loop_
_atom_site_label
_atom_site_fract_x
_atom_site_fract_y
_atom_site_fract_z
Y1 0.1234 0.1167 0.0001
Y2 0.1267 0.3666 0.5001
Ir1 0.0000 0.1249 0.2500
Au1 0.0000 0.3750 0.7500
# Crystal system: monoclinic
# Calculated density: 7426 kg/m³

What should be chosen as the most stable of them? Choose A).

A) # Zn2Ir2Au (PBE, relaxed)
data_Zn2Ir2Au
_chemical_formula_sum 'Zn4 Ir4 Au2'
_space_group_name_H-M_alt 'P 4/m b m'
_space_group_IT_number 127
_space_group_name_Hall '-P 4 2ab'
_cell_length_a 7.2853
_cell_length_b 7.2853
_cell_length_c 2.9344
_cell_angle_alpha 90.00
_cell_angle_beta 90.00
_cell_angle_gamma 90.00
loop_
_atom_site_label
_atom_site_fract_x
_atom_site_fract_y
_atom_site_fract_z
Zn1 0.1709 0.3291 0.0000
Ir1 0.1271 0.6271 0.5000
Au1 0.0000 0.0000 0.5000
# Crystal system: tetragonal
# Calculated density: 15187 kg/m³

B) # Zn2Ir2Au (PBE, relaxed)
data_Zn2Ir2Au
_chemical_formula_sum 'Zn4 Ir4 Au2'
_space_group_name_H-M_alt 'P 4/m b m'
_space_group_IT_number 127
_space_group_name_Hall '-P 4 2ab'
_cell_length_a 7.4036
_cell_length_b 7.4036
_cell_length_c 2.8210
_cell_angle_alpha 90.00
_cell_angle_beta 90.00
_cell_angle_gamma 90.00
loop_
_atom_site_label
_atom_site_fract_x
_atom_site_fract_y
_atom_site_fract_z
Zn1 0.1606 0.3394 0.0000
Ir1 0.1350 0.6350 0.5000
Au1 0.0000 0.0000 0.0000
# Crystal system: tetragonal
# Calculated density: 15297 kg/m³

What should be chosen as the most stable of them? Choose A).

A) # Zn6IrAu (PBE, relaxed)
data_Zn6IrAu
_chemical_formula_sum 'Zn48 Ir8 Au8'
_space_group_name_H-M_alt 'C m m m'
_space_group_IT_number 65
_space_group_name_Hall '-C 2 2'
_cell_length_a 7.7781
_cell_length_b 11.0148
_cell_length_c 11.0876
_cell_angle_alpha 90.00
_cell_angle_beta 90.00
_cell_angle_gamma 90.00
loop_
_atom_site_label
_atom_site_fract_x
_atom_site_fract_y
_atom_site_fract_z
Zn1 0.0000 0.0000 0.0000
Zn2 0.0000 0.0000 0.5000
Zn3 0.0000 0.2488 0.2424
Zn4 0.0000 0.5000 0.0000
Zn5 0.0000 0.5000 0.5000
Zn6 0.2368 0.1237 0.3702
Zn7 0.2393 0.1277 0.1208
Ir1 0.0000 0.0000 0.2433
Ir2 0.0000 0.2654 0.0000
Au1 0.0000 0.2616 0.5000
Au2 0.0000 0.5000 0.2483
# Crystal system: orthorhombic
# Calculated density: 10931 kg/m³

B) # Zn6IrAu (PBE, relaxed)
data_Zn6IrAu
_chemical_formula_sum 'Zn24 Ir4 Au4'
_space_group_name_H-M_alt 'F m m m'
_space_group_IT_number 69
_space_group_name_Hall '-F 2 2'
_cell_length_a 5.8469
_cell_length_b 7.5518
_cell_length_c 10.8657
_cell_angle_alpha 90.00
_cell_angle_beta 90.00
_cell_angle_gamma 90.00
loop_
_atom_site_label
_atom_site_fract_x
_atom_site_fract_y
_atom_site_fract_z
Zn1 0.0000 0.0000 0.2421
Zn2 0.2500 0.2500 0.1243
Ir1 0.0000 0.0000 0.0000
Au1 0.0000 0.0000 0.5000
# Crystal system: orthorhombic
# Calculated density: 10821 kg/m³

What should be chosen as the most stable of them? Choose A).

A) # Zn4IrAu (PBE, relaxed)
data_Zn4IrAu
_chemical_formula_sum 'Zn4 Ir1 Au1'
_space_group_name_H-M_alt 'P 4/m m m'
_space_group_IT_number 123
_space_group_name_Hall '-P 4 2'
_cell_length_a 4.1902
_cell_length_b 4.1902
_cell_length_c 6.2583
_cell_angle_alpha 90.00
_cell_angle_beta 90.00
_cell_angle_gamma 90.00
loop_
_atom_site_label
_atom_site_fract_x
_atom_site_fract_y
_atom_site_fract_z
Zn1 0.0000 0.5000 0.2308
Ir1 0.0000 0.0000 0.0000
Au1 0.5000 0.5000 0.5000
# Crystal system: tetragonal
# Calculated density: 9835 kg/m³

B) # Zn4IrAu (PBE, relaxed)
data_Zn4IrAu
_chemical_formula_sum 'Zn16 Ir4 Au4'
_space_group_name_H-M_alt 'F -4 3 m'
_space_group_IT_number 216
_space_group_name_Hall 'F -4 2 3'
_cell_length_a 7.0476
_cell_length_b 7.0476
_cell_length_c 7.0476
_cell_angle_alpha 90.00
_cell_angle_beta 90.00
_cell_angle_gamma 90.00
loop_
_atom_site_label
_atom_site_fract_x
_atom_site_fract_y
_atom_site_fract_z
Zn1 0.1253 0.1253 0.1253
Ir1 0.0000 0.0000 0.5000
Au1 0.2500 0.2500 0.7500
# Crystal system: cubic
# Calculated density: 12349 kg/m³

C) # Zn4IrAu (PBE, relaxed)
data_Zn4IrAu
_chemical_formula_sum 'Zn8 Ir2 Au2'
_space_group_name_H-M_alt 'I m m m'
_space_group_IT_number 71
_space_group_name_Hall '-I 2 2'
_cell_length_a 4.2480
_cell_length_b 5.5338
_cell_length_c 7.5441
_cell_angle_alpha 90.00
_cell_angle_beta 90.00
_cell_angle_gamma 90.00
loop_
_atom_site_label
_atom_site_fract_x
_atom_site_fract_y
_atom_site_fract_z
Zn1 0.0000 0.2421 0.1654
Ir1 0.0000 0.5000 0.5000
Au1 0.0000 0.0000 0.5000
# Crystal system: orthorhombic
# Calculated density: 12188 kg/m³

What should be chosen as the most stable of them? Choose C).